This record from OQMD via LeMat-Bulk describes a geometry-optimized ScNiSn structure. The functional is PBE.

It has space group Pnma (No. 62), with a = 6.662 Å, b = 4.409 Å, c = 7.453 Å, α = 90.00°, β = 90.00° and γ = 90.00°. The distinct sites, in fractional coordinates, are Sc at (0.011, 0.250, 0.213), Ni at (0.202, 0.750, 0.424) and Sn at (0.205, 0.250, 0.592).

The total energy is -5.937 eV/atom. Its total magnetization is 0.00 μB/f.u.

This record from OQMD via LeMat-Bulk describes a geometry-optimized Y4CdInN2 structure. The functional is PBE.

It has space group P-6m2 (No. 187), with a = 3.5183 Å, b = 3.5183 Å, c = 15.8215 Å, α = 90.00°, β = 90.00° and γ = 120.00°. The distinct sites, in fractional coordinates, are Y at (0.0000, 0.0000, 0.1636), Y at (0.3333, 0.6667, 0.3335), Cd at (0.3333, 0.6667, 0.0000), In at (0.0000, 0.0000, 0.5000) and N at (0.6667, 0.3333, 0.2503).

The total energy is -6.743 eV/atom. Its total magnetization is 0.08 μB/f.u.

This record from OQMD via LeMat-Bulk describes a geometry-optimized Hf2Be2SiSn structure. The functional is PBE.

It has space group P-6m2 (No. 187), with a = 3.8832 Å, b = 3.8832 Å, c = 7.2938 Å, α = 90.00°, β = 90.00° and γ = 120.00°. The distinct sites, in fractional coordinates, are Hf at (0.0000, 0.0000, 0.2307), Be at (0.3333, 0.6667, 0.0000), Be at (0.6667, 0.3333, 0.5000), Si at (0.6667, 0.3333, 0.0000) and Sn at (0.3333, 0.6667, 0.5000).

The total energy is -6.487 eV/atom. Its total magnetization is 0.00 μB/f.u.

This record from OQMD via LeMat-Bulk describes a geometry-optimized BaPr8P4 structure. The functional is PBE.

It has space group I4/m (No. 87), with a = 12.296 Å, b = 12.296 Å, c = 5.856 Å, α = 90.00°, β = 90.00° and γ = 90.00°. The distinct sites, in fractional coordinates, are Ba at (0.000, 0.000, 0.000), Pr at (0.001, 0.661, 0.000), Pr at (0.170, 0.171, 0.500) and P at (0.001, 0.671, 0.500).

The total energy is -5.583 eV/atom. Its total magnetization is 0.14 μB/f.u.